Record 1
Entry from Alexandria: SrSn2H10Br6O5 after structural relaxation (PBEsol).

Results
total magnetization = 0.0 μB/f.u.
DFT total energy = -4.471 eV/atom
crystal system = monoclinic

a = 14.9183 Å, b = 11.9271 Å, c = 9.2780 Å
α = 90.00°, β = 111.25°, γ = 90.00°
Space group C2/c (No. 15)
Asymmetric unit:
Sr (0.0000, 0.0221, 0.2500) [4 per cell]
Sn (0.1351, 0.3952, 0.9538) [8 per cell]
H (0.0512, 0.1712, 0.5517) [8 per cell]
H (0.0555, 0.2814, 0.2657) [8 per cell]
H (0.1407, 0.0950, 0.5879) [8 per cell]
H (0.1944, 0.1633, 0.3094) [8 per cell]
H (0.2178, 0.0401, 0.2773) [8 per cell]
Br (0.0636, 0.3667, 0.5995) [8 per cell]
Br (0.1451, 0.1636, 0.9559) [8 per cell]
Br (0.1948, 0.3726, 0.2879) [8 per cell]
O (0.0000, 0.2312, 0.2500) [4 per cell]
O (0.0695, 0.0911, 0.5529) [8 per cell]
O (0.1767, 0.0845, 0.3181) [8 per cell]

---

Record 2
Entry from Alexandria: SrHBrO after structural relaxation (PBEsol).

Results
total magnetization = 0.0 μB/f.u.
DFT total energy = -5.079 eV/atom
crystal system = monoclinic

a = 10.9656 Å, b = 4.2428 Å, c = 7.2601 Å
α = 90.00°, β = 107.52°, γ = 90.00°
Space group C2/m (No. 12)
Asymmetric unit:
Sr (0.2010, 0.0000, 0.2726) [4 per cell]
H (0.0556, 0.5000, 0.3748) [4 per cell]
Br (0.1064, 0.0000, 0.8194) [4 per cell]
O (0.1484, 0.5000, 0.3999) [4 per cell]

---

Record 3
Entry from Alexandria: SrH2Br2O7 after structural relaxation (PBEsol).

Results
total magnetization = 0.0 μB/f.u.
DFT total energy = -4.864 eV/atom
crystal system = monoclinic

a = 12.7127 Å, b = 7.5953 Å, c = 8.8120 Å
α = 90.00°, β = 132.99°, γ = 90.00°
Space group C2/c (No. 15)
Asymmetric unit:
Sr (0.0000, 0.1493, 0.2500) [4 per cell]
H (0.0337, 0.2495, 0.8685) [8 per cell]
Br (0.1903, 0.4755, 0.6928) [8 per cell]
O (0.0000, 0.1754, 0.7500) [4 per cell]
O (0.0899, 0.3375, 0.0956) [8 per cell]
O (0.1421, 0.0486, 0.6238) [8 per cell]
O (0.1872, 0.4102, 0.5074) [8 per cell]

---

Record 4
Entry from Alexandria: TbH18Br3O18 after structural relaxation (PBEsol).

Results
total magnetization = 0.0 μB/f.u.
DFT total energy = -5.022 eV/atom
crystal system = hexagonal

a = 11.6570 Å, b = 11.6570 Å, c = 6.4702 Å
α = 90.00°, β = 90.00°, γ = 120.00°
Space group P6_3mc (No. 186)
Asymmetric unit:
Tb (0.3333, 0.6667, 0.0000) [2 per cell]
H (0.1157, 0.3714, 0.9851) [12 per cell]
H (0.1257, 0.4942, 0.3147) [12 per cell]
H (0.1285, 0.4962, 0.6728) [12 per cell]
Br (0.1299, 0.2598, 0.4806) [6 per cell]
O (0.0662, 0.3629, 0.4920) [12 per cell]
O (0.0918, 0.1835, 0.7064) [6 per cell]
O (0.1575, 0.5788, 0.2387) [6 per cell]
O (0.1589, 0.5794, 0.7523) [6 per cell]
O (0.2119, 0.4237, 0.0154) [6 per cell]